# AcMg2Pb3

A geometry-optimized AcMg2Pb3 structure (PBE-GGA, Alexandria via LeMat-Bulk).

Energy of formation from the pure elements ... -0.254 eV/atom
Energy above the lowest structure with this stoichiometry ... 0.00 eV per formula unit
V ... 29.663 Å³ per atom

The structure in CIF format:
```
data_AcMg2Pb3
_chemical_formula_sum 'Ac2 Mg4 Pb6'
_symmetry_space_group_name_H-M 'P 1'
_symmetry_Int_Tables_number 1
_symmetry_space_group_name_Hall 'P 1'
_cell_length_a 5.296
_cell_length_b 5.296
_cell_length_c 14.655
_cell_angle_alpha 90.00
_cell_angle_beta 90.00
_cell_angle_gamma 120.00
loop_
_atom_site_label
_atom_site_type_symbol
_atom_site_fract_x
_atom_site_fract_y
_atom_site_fract_z
Ac1 Ac 0.000 0.000 0.250
Ac2 Ac 0.000 0.000 0.750
Mg1 Mg 0.333 0.667 0.092
Mg2 Mg 0.333 0.667 0.408
Mg3 Mg 0.667 0.333 0.592
Mg4 Mg 0.667 0.333 0.908
Pb1 Pb 0.000 0.000 0.000
Pb2 Pb 0.000 0.000 0.500
Pb3 Pb 0.333 0.667 0.625
Pb4 Pb 0.333 0.667 0.875
Pb5 Pb 0.667 0.333 0.125
Pb6 Pb 0.667 0.333 0.375
```

***

# Ac2Mg15Pb2

A geometry-optimized Ac2Mg15Pb2 structure (PBE-GGA, Alexandria via LeMat-Bulk).

Energy of formation from the pure elements ... -0.103 eV/atom
V ... 26.056 Å³ per atom

The structure in CIF format:
```
data_Ac2Mg15Pb2
_chemical_formula_sum 'Ac2 Mg15 Pb2'
_symmetry_space_group_name_H-M 'P 1'
_symmetry_Int_Tables_number 1
_symmetry_space_group_name_Hall 'P 1'
_cell_length_a 7.963
_cell_length_b 7.963
_cell_length_c 7.963
_cell_angle_alpha 83.18
_cell_angle_beta 83.18
_cell_angle_gamma 83.18
loop_
_atom_site_label
_atom_site_type_symbol
_atom_site_fract_x
_atom_site_fract_y
_atom_site_fract_z
Ac1 Ac 0.163 0.163 0.163
Ac2 Ac 0.837 0.837 0.837
Mg1 Mg 0.000 0.500 0.500
Mg2 Mg 0.151 0.151 0.664
Mg3 Mg 0.151 0.664 0.151
Mg4 Mg 0.193 0.500 0.807
Mg5 Mg 0.193 0.807 0.500
Mg6 Mg 0.336 0.849 0.849
Mg7 Mg 0.500 0.000 0.500
Mg8 Mg 0.500 0.193 0.807
Mg9 Mg 0.500 0.500 0.000
Mg10 Mg 0.500 0.807 0.193
Mg11 Mg 0.664 0.151 0.151
Mg12 Mg 0.807 0.193 0.500
Mg13 Mg 0.807 0.500 0.193
Mg14 Mg 0.849 0.336 0.849
Mg15 Mg 0.849 0.849 0.336
Pb1 Pb 0.397 0.397 0.397
Pb2 Pb 0.603 0.603 0.603
```

***

# AcMg2Pb

A geometry-optimized AcMg2Pb structure (PBE-GGA, Alexandria via LeMat-Bulk).

Energy of formation from the pure elements ... -0.104 eV/atom
Energy above the lowest structure with this stoichiometry ... 0.64 eV per formula unit
V ... 30.214 Å³ per atom

The structure in CIF format:
```
data_AcMg2Pb
_chemical_formula_sum 'Ac1 Mg2 Pb1'
_symmetry_space_group_name_H-M 'P 1'
_symmetry_Int_Tables_number 1
_symmetry_space_group_name_Hall 'P 1'
_cell_length_a 3.812
_cell_length_b 3.812
_cell_length_c 8.317
_cell_angle_alpha 90.00
_cell_angle_beta 90.00
_cell_angle_gamma 90.00
loop_
_atom_site_label
_atom_site_type_symbol
_atom_site_fract_x
_atom_site_fract_y
_atom_site_fract_z
Ac1 Ac 0.000 0.000 0.000
Mg1 Mg 0.500 0.500 0.288
Mg2 Mg 0.500 0.500 0.712
Pb1 Pb 0.000 0.000 0.500
```

***

# Ac2MgPb3

A geometry-optimized Ac2MgPb3 structure (PBE-GGA, Alexandria via LeMat-Bulk).

Energy of formation from the pure elements ... -0.348 eV/atom
Energy above the lowest structure with this stoichiometry ... 0.00 eV per formula unit
V ... 33.118 Å³ per atom

The structure in CIF format:
```
data_Ac2MgPb3
_chemical_formula_sum 'Ac4 Mg2 Pb6'
_symmetry_space_group_name_H-M 'P 1'
_symmetry_Int_Tables_number 1
_symmetry_space_group_name_Hall 'P 1'
_cell_length_a 10.797
_cell_length_b 10.157
_cell_length_c 6.673
_cell_angle_alpha 76.73
_cell_angle_beta 66.29
_cell_angle_gamma 36.98
loop_
_atom_site_label
_atom_site_type_symbol
_atom_site_fract_x
_atom_site_fract_y
_atom_site_fract_z
Ac1 Ac 0.238 0.762 0.762
Ac2 Ac 0.250 0.250 0.250
Ac3 Ac 0.750 0.750 0.750
Ac4 Ac 0.762 0.238 0.238
Mg1 Mg 0.335 0.335 0.665
Mg2 Mg 0.665 0.665 0.335
Pb1 Pb 0.174 0.655 0.345
Pb2 Pb 0.175 0.175 0.825
Pb3 Pb 0.345 0.826 0.174
Pb4 Pb 0.655 0.174 0.826
Pb5 Pb 0.825 0.825 0.175
Pb6 Pb 0.826 0.345 0.655
```

***

# Ac6MgPb10

A geometry-optimized Ac6MgPb10 structure (PBE-GGA, Alexandria via LeMat-Bulk).

Energy of formation from the pure elements ... -0.375 eV/atom
V ... 35.065 Å³ per atom

The structure in CIF format:
```
data_Ac6MgPb10
_chemical_formula_sum 'Ac6 Mg1 Pb10'
_symmetry_space_group_name_H-M 'P 1'
_symmetry_Int_Tables_number 1
_symmetry_space_group_name_Hall 'P 1'
_cell_length_a 9.845
_cell_length_b 9.845
_cell_length_c 7.102
_cell_angle_alpha 90.00
_cell_angle_beta 90.00
_cell_angle_gamma 120.00
loop_
_atom_site_label
_atom_site_type_symbol
_atom_site_fract_x
_atom_site_fract_y
_atom_site_fract_z
Ac1 Ac 0.000 0.396 0.246
Ac2 Ac 0.000 0.604 0.754
Ac3 Ac 0.396 0.000 0.246
Ac4 Ac 0.396 0.396 0.754
Ac5 Ac 0.604 0.000 0.754
Ac6 Ac 0.604 0.604 0.246
Mg1 Mg 0.000 0.000 0.000
Pb1 Pb 0.000 0.218 0.688
Pb2 Pb 0.000 0.782 0.312
Pb3 Pb 0.218 0.000 0.688
Pb4 Pb 0.218 0.218 0.312
Pb5 Pb 0.333 0.667 0.000
Pb6 Pb 0.333 0.667 0.500
Pb7 Pb 0.667 0.333 0.000
Pb8 Pb 0.667 0.333 0.500
Pb9 Pb 0.782 0.000 0.312
Pb10 Pb 0.782 0.782 0.688
```

***

# Ac3MgPb5

A geometry-optimized Ac3MgPb5 structure (PBE-GGA, Alexandria via LeMat-Bulk).

Energy of formation from the pure elements ... -0.399 eV/atom
V ... 33.170 Å³ per atom

The structure in CIF format:
```
data_Ac3MgPb5
_chemical_formula_sum 'Ac6 Mg2 Pb10'
_symmetry_space_group_name_H-M 'P 1'
_symmetry_Int_Tables_number 1
_symmetry_space_group_name_Hall 'P 1'
_cell_length_a 10.037
_cell_length_b 10.037
_cell_length_c 6.843
_cell_angle_alpha 90.00
_cell_angle_beta 90.00
_cell_angle_gamma 120.00
loop_
_atom_site_label
_atom_site_type_symbol
_atom_site_fract_x
_atom_site_fract_y
_atom_site_fract_z
Ac1 Ac 0.000 0.375 0.250
Ac2 Ac 0.000 0.625 0.750
Ac3 Ac 0.375 0.000 0.250
Ac4 Ac 0.375 0.375 0.750
Ac5 Ac 0.625 0.000 0.750
Ac6 Ac 0.625 0.625 0.250
Mg1 Mg 0.000 0.000 0.000
Mg2 Mg 0.000 0.000 0.500
Pb1 Pb 0.000 0.278 0.750
Pb2 Pb 0.000 0.722 0.250
Pb3 Pb 0.278 0.000 0.750
Pb4 Pb 0.278 0.278 0.250
Pb5 Pb 0.333 0.667 0.000
Pb6 Pb 0.333 0.667 0.500
Pb7 Pb 0.667 0.333 0.000
Pb8 Pb 0.667 0.333 0.500
Pb9 Pb 0.722 0.000 0.250
Pb10 Pb 0.722 0.722 0.750
```